A plane-wave DFT calculation with PBE was carried out for a relaxed structure of LiSnP2S.

a = 4.159 Å, b = 5.980 Å, c = 4.159 Å
α = 90.00°, β = 90.00°, γ = 90.00°
Sites, in units of the cell vectors:
P 0.000 0.000 0.500
P 0.500 0.000 0.000
S 0.500 0.500 0.500
Sn 0.000 0.500 0.000
Li 0.000 0.000 0.000

## Properties
ρ	3.53	g cm⁻³
total magnetization	0.0	Bohr magnetons per cell
space-group type	P4/mmm, No. 123
formation energy (no corrections)	0.63	eV/atom
offset from the most stable computed form	92	meV/atom